# PBE RePt2, optimized geometry
# Energy of formation from the pure elements ... -0.08 eV/atom
# Relative energy among the computed polymorphs ... 64 meV/atom
# Space-group type ... R3m, No. 160
data_RePt2
_chemical_formula_sum 'Re1 Pt2'
_space_group_name_H-M_alt 'P 1'
_space_group_IT_number 1
_space_group_name_Hall 'P 1'
_cell_length_a 6.9326
_cell_length_b 6.9326
_cell_length_c 6.9326
_cell_angle_alpha 23.42
_cell_angle_beta 23.42
_cell_angle_gamma 23.42
loop_
_atom_site_label
_atom_site_type_symbol
_atom_site_fract_x
_atom_site_fract_y
_atom_site_fract_z
Re1 Re 0.0000 0.0000 0.0000
Pt1 Pt 0.5593 0.5593 0.5593
Pt2 Pt 0.7729 0.7729 0.7729